The following is a PBE-GGA calculation of an optimized crystal structure of Tb7YSc2, from Alexandria via LeMat-Bulk.

It has space group Cmmm (No. 65), with a = 8.8043 Å, b = 15.1582 Å, c = 5.5463 Å, α = 90.00°, β = 90.00° and γ = 90.00°. The asymmetric unit holds Tb at (0.0000, 0.0000, 0.0000), Tb at (0.0000, 0.2585, 0.5000), Tb at (0.1818, 0.3798, 0.0000), Y at (0.0000, 0.5000, 0.5000) and Sc at (0.0000, 0.2050, 0.0000).

As for the magnetic moment: 0.00 Bohr magnetons per cell. Its formation energy is 0.646 eV per atom.

---

The following is a PBE-GGA calculation of an optimized crystal structure of Ac2Sn4Pt3Au, from Alexandria via LeMat-Bulk.

It has space group P-4m2 (No. 115), with a = 4.7577 Å, b = 4.7577 Å, c = 10.7412 Å, α = 90.00°, β = 90.00° and γ = 90.00°. The asymmetric unit holds Ac at (0.0000, 0.5000, 0.2416), Sn at (0.0000, 0.0000, 0.5000), Sn at (0.0000, 0.5000, 0.8693), Sn at (0.5000, 0.5000, 0.5000), Pt at (0.0000, 0.0000, 0.0000), Pt at (0.0000, 0.5000, 0.6228) and Au at (0.5000, 0.5000, 0.0000).

As for the magnetic moment: 0.00 Bohr magnetons per cell. Its formation energy is -0.851 eV per atom.

---

The following is a PBE-GGA calculation of an optimized crystal structure of YSc2BiB, from Alexandria via LeMat-Bulk.

It has space group P4/mmm (No. 123), with a = 4.7281 Å, b = 4.7281 Å, c = 5.0171 Å, α = 90.00°, β = 90.00° and γ = 90.00°. The asymmetric unit holds Y at (0.0000, 0.0000, 0.0000), Sc at (0.0000, 0.5000, 0.5000), Bi at (0.5000, 0.5000, 0.0000) and B at (0.0000, 0.0000, 0.5000).

As for the magnetic moment: 0.00 Bohr magnetons per cell. Its formation energy is -0.531 eV per atom.

---

The following is a PBE-GGA calculation of an optimized crystal structure of Hg3Pd4Pt, from Alexandria via LeMat-Bulk.

It has space group Pmmm (No. 47), with a = 3.0580 Å, b = 4.7725 Å, c = 9.5368 Å, α = 90.00°, β = 90.00° and γ = 90.00°. The asymmetric unit holds Hg at (0.0000, 0.0000, 0.0000), Hg at (0.0000, 0.5000, 0.2551), Pd at (0.5000, 0.0000, 0.2544), Pd at (0.5000, 0.5000, 0.0000), Pd at (0.5000, 0.5000, 0.5000) and Pt at (0.0000, 0.0000, 0.5000).

As for the magnetic moment: 0.00 Bohr magnetons per cell. Its formation energy is -0.104 eV per atom.

---

The following is a PBE-GGA calculation of an optimized crystal structure of Ca2AlGe3Pt4, from Alexandria via LeMat-Bulk.

It has space group P-4m2 (No. 115), with a = 4.2369 Å, b = 4.2369 Å, c = 10.6081 Å, α = 90.00°, β = 90.00° and γ = 90.00°. The asymmetric unit holds Ca at (0.0000, 0.5000, 0.2486), Al at (0.0000, 0.0000, 0.5000), Ge at (0.0000, 0.5000, 0.8662), Ge at (0.5000, 0.5000, 0.5000), Pt at (0.0000, 0.0000, 0.0000), Pt at (0.0000, 0.5000, 0.6325) and Pt at (0.5000, 0.5000, 0.0000).

As for the magnetic moment: 0.00 Bohr magnetons per cell. Its formation energy is -0.872 eV per atom.

---

The following is a PBE-GGA calculation of an optimized crystal structure of CsHfGe2, from Alexandria via LeMat-Bulk.

It has space group Fm-3m (No. 225), with a = 7.3938 Å, b = 7.3938 Å, c = 7.3938 Å, α = 90.00°, β = 90.00° and γ = 90.00°. The asymmetric unit holds Cs at (0.0000, 0.0000, 0.0000), Hf at (0.0000, 0.0000, 0.5000) and Ge at (0.2500, 0.2500, 0.2500).

As for the magnetic moment: 0.00 Bohr magnetons per cell. Its formation energy is 0.666 eV per atom.

---

The following is a PBE-GGA calculation of an optimized crystal structure of YTa2Ru3, from Alexandria via LeMat-Bulk.

It has space group P4/mmm (No. 123), with a = 3.1616 Å, b = 3.1616 Å, c = 10.4725 Å, α = 90.00°, β = 90.00° and γ = 90.00°. The asymmetric unit holds Y at (0.0000, 0.0000, 0.0000), Ta at (0.0000, 0.0000, 0.3404), Ru at (0.5000, 0.5000, 0.2033) and Ru at (0.5000, 0.5000, 0.5000).

As for the magnetic moment: 0.00 Bohr magnetons per cell. Its formation energy is -0.409 eV per atom.

---

The following is a PBE-GGA calculation of an optimized crystal structure of La2BeAsC, from Alexandria via LeMat-Bulk.

It has space group P4/mmm (No. 123), with a = 5.3968 Å, b = 5.3968 Å, c = 3.4796 Å, α = 90.00°, β = 90.00° and γ = 90.00°. The asymmetric unit holds La at (0.0000, 0.5000, 0.0000), Be at (0.0000, 0.0000, 0.5000), As at (0.5000, 0.5000, 0.5000) and C at (0.0000, 0.0000, 0.0000).

As for the magnetic moment: 0.00 Bohr magnetons per cell. Its formation energy is -0.577 eV per atom.

---

The following is a PBE-GGA calculation of an optimized crystal structure of Pm4Bi2I5, from Alexandria via LeMat-Bulk.

It has space group C2/m (No. 12), with a = 27.5361 Å, b = 3.9365 Å, c = 7.8733 Å, α = 90.00°, β = 93.37° and γ = 90.00°. The asymmetric unit holds Pm at (0.0313, 0.0000, 0.3110), Pm at (0.1785, 0.5000, 0.4987), Bi at (0.2368, 0.0000, 0.7680), I at (0.0000, 0.5000, 0.0000), I at (0.0892, 0.0000, 0.6566) and I at (0.1353, 0.0000, 0.1882).

As for the magnetic moment: 0.03 Bohr magnetons per cell. The calculation puts the raw formation energy at -18.59 kcal/mol of atoms.

---

The following is a PBE-GGA calculation of an optimized crystal structure of DyPd6Au12, from Alexandria via LeMat-Bulk.

It has space group R-3m (No. 166, hexagonal axes), with a = 11.3389 Å, b = 11.3389 Å, c = 9.3630 Å, α = 90.00°, β = 90.00° and γ = 120.00°. The asymmetric unit holds Dy at (0.0000, 0.0000, 0.0000), Pd at (0.0848, 0.1695, 0.7496), Au at (0.0000, 0.2629, 0.0000) and Au at (0.0727, 0.5364, 0.1195).

As for the magnetic moment: 0.00 Bohr magnetons per cell. Its formation energy is -0.116 eV per atom.

---

The following is a PBE-GGA calculation of an optimized crystal structure of MgP2O, from Alexandria via LeMat-Bulk.

It has space group I-42d (No. 122), with a = 4.5306 Å, b = 4.5306 Å, c = 13.2852 Å, α = 90.00°, β = 90.00° and γ = 90.00°. The asymmetric unit holds Mg at (0.0000, 0.0000, 0.0000), P at (0.0848, 0.2500, 0.6250) and O at (0.0000, 0.0000, 0.5000).

As for the magnetic moment: 0.00 Bohr magnetons per cell. The calculation puts the raw formation energy at -2.66 kcal/mol of atoms.

---

The following is a PBE-GGA calculation of an optimized crystal structure of Y3Ho2NpN6, from Alexandria via LeMat-Bulk.

It has space group C2/m (No. 12), with a = 5.9801 Å, b = 10.3650 Å, c = 5.9800 Å, α = 90.00°, β = 109.43° and γ = 90.00°. The asymmetric unit holds Y at (0.0000, 0.0000, 0.0000), Y at (0.0000, 0.3319, 0.0000), Ho at (0.0000, 0.1666, 0.5000), Np at (0.0000, 0.5000, 0.5000), N at (0.2397, 0.5000, 0.2624) and N at (0.2408, 0.3396, 0.7408).

As for the magnetic moment: 5.40 Bohr magnetons per cell. The calculation puts the raw formation energy at -37.37 kcal/mol of atoms.

---

The following is a PBE-GGA calculation of an optimized crystal structure of NdMgRhAu, from Alexandria via LeMat-Bulk.

It has space group F-43m (No. 216), with a = 6.9306 Å, b = 6.9306 Å, c = 6.9306 Å, α = 90.00°, β = 90.00° and γ = 90.00°. The asymmetric unit holds Nd at (0.0000, 0.0000, 0.0000), Mg at (0.0000, 0.0000, 0.5000), Rh at (0.2500, 0.2500, 0.2500) and Au at (0.2500, 0.2500, 0.7500).

As for the magnetic moment: 0.00 Bohr magnetons per cell. Its formation energy is -0.570 eV per atom.

---

The following is a PBE-GGA calculation of an optimized crystal structure of SrP2W, from Alexandria via LeMat-Bulk.

It has space group P4/mmm (No. 123), with a = 3.1751 Å, b = 3.1751 Å, c = 7.1298 Å, α = 90.00°, β = 90.00° and γ = 90.00°. The asymmetric unit holds Sr at (0.0000, 0.0000, 0.0000), P at (0.5000, 0.5000, 0.3088) and W at (0.0000, 0.0000, 0.5000).

As for the magnetic moment: 0.00 Bohr magnetons per cell. Its formation energy is -0.380 eV per atom.

---

The following is a PBE-GGA calculation of an optimized crystal structure of TmPa3Sb4, from Alexandria via LeMat-Bulk.

It has space group P2/c (No. 13), with a = 7.5668 Å, b = 8.7143 Å, c = 7.5323 Å, α = 90.00°, β = 109.47° and γ = 90.00°. The asymmetric unit holds Tm at (0.0000, 0.1233, 0.2500), Pa at (0.0000, 0.3755, 0.7500), Pa at (0.5000, 0.1257, 0.7500), Pa at (0.5000, 0.3771, 0.2500), Sb at (0.2464, 0.3717, 0.4968) and Sb at (0.2469, 0.1237, 0.0005).

As for the magnetic moment: 4.15 Bohr magnetons per cell. The calculation puts the raw formation energy at -13.33 kcal/mol of atoms.

---

The following is a PBE-GGA calculation of an optimized crystal structure of PmPr4Eu, from Alexandria via LeMat-Bulk.

It has space group F-43m (No. 216), with a = 9.7347 Å, b = 9.7347 Å, c = 9.7347 Å, α = 90.00°, β = 90.00° and γ = 90.00°. The asymmetric unit holds Pm at (0.0000, 0.0000, 0.0000), Pr at (0.1269, 0.1269, 0.6269) and Eu at (0.2500, 0.2500, 0.2500).

As for the magnetic moment: 28.56 Bohr magnetons per cell. Its formation energy is 0.223 eV per atom.

---

The following is a PBE-GGA calculation of an optimized crystal structure of LaPrSm5Y2, from Alexandria via LeMat-Bulk.

It has space group I4/mcm (No. 140), with a = 8.8330 Å, b = 8.8330 Å, c = 15.9560 Å, α = 90.00°, β = 90.00° and γ = 90.00°. The asymmetric unit holds La at (0.0000, 0.0000, 0.2500), Pr at (0.0000, 0.5000, 0.2500), Sm at (0.0000, 0.0000, 0.0000), Sm at (0.1996, 0.3004, 0.1359) and Y at (0.1200, 0.3800, 0.5000).

As for the magnetic moment: 0.00 Bohr magnetons per cell. Its formation energy is 0.278 eV per atom.

---

The following is a PBE-GGA calculation of an optimized crystal structure of La2HoAg2, from Alexandria via LeMat-Bulk.

It has space group P4/mbm (No. 127), with a = 7.6648 Å, b = 7.6648 Å, c = 4.9869 Å, α = 90.00°, β = 90.00° and γ = 90.00°. The asymmetric unit holds La at (0.1673, 0.3327, 0.0000), Ho at (0.0000, 0.0000, 0.5000) and Ag at (0.1312, 0.6312, 0.5000).

As for the magnetic moment: 0.00 Bohr magnetons per cell. Its formation energy is -0.171 eV per atom.

---

The following is a PBE-GGA calculation of an optimized crystal structure of LaAs2Au4, from Alexandria via LeMat-Bulk.

It has space group P4_2/mnm (No. 136), with a = 8.0922 Å, b = 8.0922 Å, c = 4.4686 Å, α = 90.00°, β = 90.00° and γ = 90.00°. The asymmetric unit holds La at (0.0000, 0.0000, 0.0000), As at (0.2183, 0.2183, 0.5000) and Au at (0.0848, 0.6632, 0.5000).

As for the magnetic moment: 0.00 Bohr magnetons per cell. Its formation energy is -0.423 eV per atom.

---

The following is a PBE-GGA calculation of an optimized crystal structure of ReSi2Au, from Alexandria via LeMat-Bulk.

It has space group Cmmm (No. 65), with a = 3.0240 Å, b = 4.9120 Å, c = 8.5956 Å, α = 90.00°, β = 90.00° and γ = 90.00°. The asymmetric unit holds Re at (0.0000, 0.0000, 0.0000), Si at (0.0000, 0.5000, 0.2237) and Au at (0.0000, 0.0000, 0.5000).

As for the magnetic moment: 0.00 Bohr magnetons per cell. The calculation puts the raw formation energy at 7.98 kcal/mol of atoms.

---

The following is a PBE-GGA calculation of an optimized crystal structure of RbGa3As3, from Alexandria via LeMat-Bulk.

It has space group R-3 (No. 148, hexagonal axes), with a = 7.4144 Å, b = 7.4144 Å, c = 25.5308 Å, α = 90.00°, β = 90.00° and γ = 120.00°. The asymmetric unit holds Rb at (0.0000, 0.0000, 0.1665), Ga at (0.0001, 0.3323, 0.0381) and As at (0.0009, 0.6661, 0.0654).

As for the magnetic moment: 0.00 Bohr magnetons per cell. Its formation energy is -0.301 eV per atom.

---

The following is a PBE-GGA calculation of an optimized crystal structure of Li2CuTc, from Alexandria via LeMat-Bulk.

It has space group P4/mmm (No. 123), with a = 3.5906 Å, b = 3.5906 Å, c = 4.2726 Å, α = 90.00°, β = 90.00° and γ = 90.00°. The asymmetric unit holds Li at (0.0000, 0.5000, 0.0000), Cu at (0.0000, 0.0000, 0.5000) and Tc at (0.5000, 0.5000, 0.5000).

As for the magnetic moment: 1.91 Bohr magnetons per cell. Its formation energy is 0.416 eV per atom.